(1)
Density functional theory data (PBE) for a relaxed LaTi3Ir crystal.

Cell and atoms, written as CIF:
```
data_LaTi3Ir
_symmetry_space_group_name_H-M 'P 1'
_symmetry_Int_Tables_number 1
_cell_length_a 4.667
_cell_length_b 4.667
_cell_length_c 4.667
_cell_angle_alpha 90.00
_cell_angle_beta 90.00
_cell_angle_gamma 90.00
loop_
_symmetry_equiv_pos_as_xyz
'x,y,z'
loop_
_atom_site_label
_atom_site_type_symbol
_atom_site_fract_x
_atom_site_fract_y
_atom_site_fract_z
Ir1 Ir 0.500 0.500 0.500
Ti1 Ti 0.000 0.500 0.000
Ti2 Ti 0.000 0.000 0.500
Ti3 Ti 0.500 0.000 0.000
La1 La 0.000 0.000 0.000
```

Results
For the volume, the calculation gives 20.3 A^3/atom. Its formation enthalpy at 0 K is 1426.1 meV per atom. The space-group type is No. 221.

=====

(2)
Density functional theory data (PBE) for a relaxed CoNiC crystal.

Cell and atoms, written as CIF:
```
data_CoNiC
_symmetry_space_group_name_H-M 'P 1'
_symmetry_Int_Tables_number 1
_cell_length_a 2.853
_cell_length_b 2.853
_cell_length_c 4.060
_cell_angle_alpha 90.00
_cell_angle_beta 90.00
_cell_angle_gamma 120.00
loop_
_symmetry_equiv_pos_as_xyz
'x,y,z'
loop_
_atom_site_label
_atom_site_type_symbol
_atom_site_fract_x
_atom_site_fract_y
_atom_site_fract_z
Ni1 Ni 0.000 0.000 0.578
C1 C 0.667 0.333 0.840
Co1 Co 0.333 0.667 0.055
```

Results
For the volume, the calculation gives 9.5 A^3/atom. Its formation enthalpy at 0 K is 268.2 meV per atom. The space-group type is No. 156.

=====

(3)
Density functional theory data (PBE) for a relaxed LiAs4Pd3Pb2 crystal.

Cell and atoms, written as CIF:
```
data_LiAs4Pd3Pb2
_symmetry_space_group_name_H-M 'P 1'
_symmetry_Int_Tables_number 1
_cell_length_a 4.253
_cell_length_b 4.253
_cell_length_c 11.072
_cell_angle_alpha 90.00
_cell_angle_beta 90.00
_cell_angle_gamma 90.00
loop_
_symmetry_equiv_pos_as_xyz
'x,y,z'
loop_
_atom_site_label
_atom_site_type_symbol
_atom_site_fract_x
_atom_site_fract_y
_atom_site_fract_z
Li1 Li 0.500 0.500 0.500
As1 As 0.500 0.500 0.000
As2 As 0.000 0.000 0.000
As3 As 0.500 0.000 0.637
As4 As 0.000 0.500 0.363
Pd1 Pd 0.000 0.000 0.500
Pd2 Pd 0.500 0.000 0.866
Pd3 Pd 0.000 0.500 0.134
Pb1 Pb 0.500 0.000 0.267
Pb2 Pb 0.000 0.500 0.733
```

Results
For the volume, the calculation gives 20.0 A^3/atom. Its formation enthalpy at 0 K is -301.0 meV per atom. The space-group type is No. 115.

=====

(4)
Density functional theory data (PBE) for a relaxed NbNiPt4 crystal.

Cell and atoms, written as CIF:
```
data_NbNiPt4
_symmetry_space_group_name_H-M 'P 1'
_symmetry_Int_Tables_number 1
_cell_length_a 4.566
_cell_length_b 4.566
_cell_length_c 5.536
_cell_angle_alpha 73.58
_cell_angle_beta 73.58
_cell_angle_gamma 109.01
loop_
_symmetry_equiv_pos_as_xyz
'x,y,z'
loop_
_atom_site_label
_atom_site_type_symbol
_atom_site_fract_x
_atom_site_fract_y
_atom_site_fract_z
Nb1 Nb 0.000 0.500 0.500
Ni1 Ni 0.000 0.500 0.000
Pt1 Pt 0.310 0.188 0.756
Pt2 Pt 0.688 0.810 0.756
Pt3 Pt 0.312 0.190 0.244
Pt4 Pt 0.690 0.812 0.244
```

Results
For the volume, the calculation gives 15.9 A^3/atom. Its formation enthalpy at 0 K is -272.6 meV per atom. The space-group type is No. 12.

=====

(5)
Density functional theory data (PBE) for a relaxed BeTc3Ag crystal.

Cell and atoms, written as CIF:
```
data_BeTc3Ag
_symmetry_space_group_name_H-M 'P 1'
_symmetry_Int_Tables_number 1
_cell_length_a 4.170
_cell_length_b 4.170
_cell_length_c 4.170
_cell_angle_alpha 90.00
_cell_angle_beta 90.00
_cell_angle_gamma 90.00
loop_
_symmetry_equiv_pos_as_xyz
'x,y,z'
loop_
_atom_site_label
_atom_site_type_symbol
_atom_site_fract_x
_atom_site_fract_y
_atom_site_fract_z
Be1 Be 0.000 0.000 0.000
Tc1 Tc 0.000 0.500 0.000
Tc2 Tc 0.000 0.000 0.500
Tc3 Tc 0.500 0.000 0.000
Ag1 Ag 0.500 0.500 0.500
```

Results
For the volume, the calculation gives 14.5 A^3/atom. Its formation enthalpy at 0 K is 807.1 meV per atom. The space-group type is No. 221.

=====

(6)
Density functional theory data (PBE) for a relaxed PmF crystal.

Cell and atoms, written as CIF:
```
data_PmF
_symmetry_space_group_name_H-M 'P 1'
_symmetry_Int_Tables_number 1
_cell_length_a 3.833
_cell_length_b 3.831
_cell_length_c 6.016
_cell_angle_alpha 90.00
_cell_angle_beta 89.99
_cell_angle_gamma 90.00
loop_
_symmetry_equiv_pos_as_xyz
'x,y,z'
loop_
_atom_site_label
_atom_site_type_symbol
_atom_site_fract_x
_atom_site_fract_y
_atom_site_fract_z
F1 F 0.750 0.750 0.500
F2 F 0.250 0.250 0.500
Pm1 Pm 0.250 0.750 0.239
Pm2 Pm 0.750 0.250 0.761
```

Results
For the volume, the calculation gives 22.1 A^3/atom. The space-group type is No. 59. The value obtained for the raw formation energy is -2526.8 meV per atom.